Material: PaFeBi2O8
Method: DFT, GGA+U
State: optimized geometry Values from VASP.

Quantum ESPRESSO input file:
```
&SYSTEM
  ibrav = 0, nat = 12, ntyp = 4
/
ATOMIC_SPECIES
Pa 231.04 Pa.upf
Fe 55.84 Fe.upf
Bi 208.98 Bi.upf
O 16.00 O.upf
CELL_PARAMETERS angstrom
-3.935 0.401 -4.735
5.466 -1.461 -2.460
-1.830 -4.255 4.076
ATOMIC_POSITIONS angstrom
Pa 0.000 0.000 0.000
Fe 2.201 -3.123 -0.991
Bi -2.499 -2.192 -2.128
Bi 0.766 -0.530 -3.597
O -1.740 -1.207 -0.355
O 1.168 -1.452 -1.725
O -2.125 -3.407 1.701
O -3.960 -2.691 -0.609
O -0.064 -1.533 -5.277
O -2.849 -1.334 -4.085
O -1.449 -3.535 -3.463
O 0.425 -4.238 -0.936
```

Computed properties:
- energy (eV per atom) = -6.759
- total moment (Bohr magnetons per cell) = 5.0
- calculated density (g/cm3) = 7.7